(1)
Compound: Zr2NiP
Source: Alexandria via LeMat-Bulk
Functional: GGA-PBEsol
Structure: optimized geometry

Output
DFT total energy: -8.2435 eV/atom

Unit cell a=5.560 b=6.984 c=3.292 alpha=90.00 beta=90.00 gamma=90.00
Space group Cmmm (No. 65)
One atom of each set of equivalent atoms:
Zr  0.250  0.250  0.000 x4
Ni  0.000  0.000  0.500 x2
P  0.000  0.500  0.500 x2


(2)
Compound: YHg2Sb
Source: Alexandria via LeMat-Bulk
Functional: GGA-PBEsol
Structure: optimized geometry

Output
ΔE_f (raw): -0.50 eV/atom

Unit cell a=4.298 b=4.298 c=10.321 alpha=90.00 beta=90.00 gamma=90.00
Space group I4/mmm (No. 139)
One atom of each set of equivalent atoms:
Y  0.000  0.000  0.000 x2
Hg  0.000  0.500  0.250 x4
Sb  0.000  0.000  0.500 x2


(3)
Compound: LiMgPb
Source: Alexandria via LeMat-Bulk
Functional: GGA-PBEsol
Structure: optimized geometry

Output
Polymorph energy (0 for the lowest one): 0.199 eV/atom

Unit cell a=6.730 b=6.730 c=6.730 alpha=90.00 beta=90.00 gamma=90.00
Space group F-43m (No. 216)
One atom of each set of equivalent atoms:
Li  0.000  0.000  0.000 x4
Mg  0.250  0.250  0.750 x4
Pb  0.000  0.000  0.500 x4


(4)
Compound: SiMo2Rh
Source: Alexandria via LeMat-Bulk
Functional: GGA-PBEsol
Structure: optimized geometry

Output
ΔE_f (raw): -0.24 eV/atom

Unit cell a=3.614 b=3.614 c=4.299 alpha=90.00 beta=90.00 gamma=90.00
Space group P4/mmm (No. 123)
One atom of each set of equivalent atoms:
Si  0.000  0.000  0.000 x1
Mo  0.000  0.500  0.500 x2
Rh  0.500  0.500  0.000 x1


- Which formula does entry 1 have?
  Zr2NiP